Below is ScSiSb3 after structural relaxation, with properties calculated at the PBE level.

## Properties
The uncorrected formation energy is 422 meV/atom. As for the calculated total energy: -4.402 eV/atom. The volume is 139.4 Å³ per cell.

a b c (Å): 5.185 5.185 5.185
angles (deg): 90.00 90.00 90.00
Space group Pm-3m (No. 221)
Asymmetric unit:
Sc: 0.000 0.000 0.000 [1 per cell]
Si: 0.500 0.500 0.500 [1 per cell]
Sb: 0.000 0.500 0.500 [3 per cell]